5
Lattice="-1.0607 4.6385 1.4227 -0.3389 -1.5236 4.7147 4.8399 0.9099 0.6420" Properties=species:S:1:pos:R:3 comment="PBE-GGA KWS3, optimized geometry" n_ef_per_ev_atom=2.640 formation_energy_uncorrected_mev_per_atom=2404 spacegroup=Pm-3m pbc="T T T"
S -0.1695 -0.7618 2.3574
W 1.7201 2.0124 3.3897
S -0.5304 2.3192 0.7114
S 2.4200 0.4549 0.3210
K 0.0000 0.0000 0.0000